Record 1
An optimized crystal structure of TmAlNiAg, computed with PBE.

Cell lengths 6.5423, 6.5423, 6.5423 Å; angles 90.00, 90.00, 90.00 degrees
With the nearest neighbours (Å) after each atom.
Fractional coordinates of all 16 atoms:
Tm 0.0000 0.0000 0.0000  4 Ag 2.83, 4 Ni 2.83
Tm 0.0000 0.5000 0.5000  4 Ag 2.83, 4 Ni 2.83
Tm 0.5000 0.0000 0.5000  4 Ag 2.83, 4 Ni 2.83
Tm 0.5000 0.5000 0.0000  4 Ag 2.83, 4 Ni 2.83
Al 0.0000 0.0000 0.5000  4 Ni 2.83, 4 Ag 2.83
Al 0.0000 0.5000 0.0000  4 Ni 2.83, 4 Ag 2.83
Al 0.5000 0.0000 0.0000  4 Ni 2.83, 4 Ag 2.83
Al 0.5000 0.5000 0.5000  4 Ni 2.83, 4 Ag 2.83
Ni 0.2500 0.2500 0.7500  4 Tm 2.83, 4 Al 2.83
Ni 0.2500 0.7500 0.2500  4 Tm 2.83, 4 Al 2.83
Ni 0.7500 0.2500 0.2500  4 Tm 2.83, 4 Al 2.83
Ni 0.7500 0.7500 0.7500  4 Tm 2.83, 4 Al 2.83
Ag 0.2500 0.2500 0.2500  4 Al 2.83, 4 Tm 2.83
Ag 0.2500 0.7500 0.7500  4 Tm 2.83, 4 Al 2.83
Ag 0.7500 0.2500 0.7500  4 Tm 2.83, 4 Al 2.83
Ag 0.7500 0.7500 0.2500  4 Tm 2.83, 4 Al 2.83

Summary:
ΔH_f (0 K) in eV/atom: -0.35
SG: F-43m (216)
VASP energy in eV/atom: -4.56

Record 2
An optimized crystal structure of VCdGaSi2, computed with PBE.

Cell lengths 4.6374, 4.6374, 5.2678 Å; angles 90.00, 90.00, 90.00 degrees
With the nearest neighbours (Å) after each atom.
Fractional coordinates of all 5 atoms:
V 0.0000 0.0000 0.0000  4 Si 2.32
Cd 0.0000 0.0000 0.5000  2 V 2.63
Ga 0.5000 0.5000 0.5000  4 Cd 3.28, 8 Si 3.51
Si 0.0000 0.5000 0.0000  2 V 2.32
Si 0.5000 0.0000 0.0000  2 V 2.32

Summary:
SG: P4/mmm (123)
VASP energy in eV/atom: -4.25